[1]
Material: CrCo2Tc
Method: DFT, PBE-GGA
State: relaxed

Output
**Energy of formation**: 2.4 eV/f.u.
**Energy above the lowest structure with this stoichiometry**: 594 meV/atom
**DOS(E_F)**: 6.47 states/eV/f.u.

a b c (Å): 3.464 3.464 8.860
angles (deg): 78.73 78.73 90.00
Last column: magnetic moment on the atom in μB.
Element x y z (fractional)
Tc 0.750 0.250 0.500  0.15
Tc 0.000 0.000 0.000  0.16
Co 0.375 0.388 0.750  0.82
Co 0.612 0.125 0.250  0.82
Co 0.138 0.625 0.250  0.81
Co 0.875 0.862 0.750  0.82
Cr 0.500 0.500 0.000  -0.89
Cr 0.250 0.750 0.500  -0.89

[2]
Material: Cr5Co6Tc
Method: DFT, PBE-GGA
State: relaxed

Output
**Energy of formation**: 0.5 eV/f.u.
**DOS(E_F)**: 10.05 states/eV/f.u.

a b c (Å): 4.369 4.994 6.135
angles (deg): 90.00 89.06 90.00
Last column: magnetic moment on the atom in μB.
Element x y z (fractional)
Co 0.170 0.252 0.337  -0.01
Co 0.830 0.748 0.663  -0.01
Co 0.830 0.252 0.663  -0.01
Co 0.500 0.254 0.000  0.00
Co 0.500 0.746 0.000  0.00
Co 0.170 0.748 0.337  -0.01
Cr 0.665 0.500 0.333  0.07
Cr 0.335 0.500 0.667  0.07
Cr 0.664 0.000 0.337  -0.05
Cr 0.336 0.000 0.663  -0.05
Cr 0.000 0.500 0.000  0.22
Tc 0.000 0.000 0.000  -0.02